# 1
A relaxed LaAsPtSe2 crystal. Source: Alexandria via LeMat-Bulk, functional PBEsol.

Lattice parameters (Å, degrees): 5.038 5.038 4.690 90.00 90.00 90.00
Element x y z (fractional)
La (0.000, 0.000, 0.000)
As (0.500, 0.500, 0.000)
Pt (0.500, 0.500, 0.500)
Se (0.000, 0.500, 0.500)
Se (0.500, 0.000, 0.500)

- space group = P4/mmm
- formation energy (no corrections) (eV/atom) = -0.61

***

# 2
A relaxed RbLaAs3 crystal. Source: Alexandria via LeMat-Bulk, functional PBEsol.

Lattice parameters (Å, degrees): 5.662 5.662 5.662 90.00 90.00 90.00
Element x y z (fractional)
Rb (0.000, 0.000, 0.000)
La (0.500, 0.500, 0.500)
As (0.000, 0.500, 0.500)
As (0.500, 0.000, 0.500)
As (0.500, 0.500, 0.000)

- energy of formation from the pure elements (eV per atom) = 0.073
- space group = Pm-3m

***

# 3
A relaxed LaReAsW2 crystal. Source: Alexandria via LeMat-Bulk, functional PBEsol.

Lattice parameters (Å, degrees): 4.550 4.550 5.282 90.00 90.00 90.00
Element x y z (fractional)
La (0.000, 0.000, 0.000)
Re (0.500, 0.500, 0.000)
As (0.000, 0.000, 0.500)
W (0.000, 0.500, 0.500)
W (0.500, 0.000, 0.500)

- energy of formation from the pure elements (eV per atom) = 1.714
- space group = P4/mmm

***

# 4
A relaxed LaAs2Rh2 crystal. Source: Alexandria via LeMat-Bulk, functional PBEsol.

Lattice parameters (Å, degrees): 4.273 4.273 9.906 90.00 90.00 90.00
Element x y z (fractional)
La (0.250, 0.250, 0.245)
La (0.750, 0.750, 0.755)
As (0.250, 0.250, 0.636)
As (0.250, 0.750, 0.000)
As (0.750, 0.250, 0.000)
As (0.750, 0.750, 0.364)
Rh (0.250, 0.250, 0.881)
Rh (0.250, 0.750, 0.500)
Rh (0.750, 0.250, 0.500)
Rh (0.750, 0.750, 0.119)

- energy of formation from the pure elements (eV per atom) = -1.001
- space group = P4/nmm

***

# 5
A relaxed LaAsRh crystal. Source: Alexandria via LeMat-Bulk, functional PBEsol.

Lattice parameters (Å, degrees): 4.729 4.729 4.729 60.00 60.00 60.00
Element x y z (fractional)
La (0.000, 0.000, 0.000)
As (0.250, 0.250, 0.250)
Rh (0.750, 0.750, 0.750)

- energy of formation from the pure elements (eV per atom) = 0.021
- space group = F-43m

***

# 6
A relaxed LaAsRh crystal. Source: Alexandria via LeMat-Bulk, functional PBEsol.

Lattice parameters (Å, degrees): 4.562 4.562 4.562 60.00 60.00 60.00
Element x y z (fractional)
La (0.000, 0.000, 0.000)
As (0.500, 0.500, 0.500)
Rh (0.250, 0.250, 0.250)

- energy of formation from the pure elements (eV per atom) = -0.800
- space group = F-43m

***

# 7
A relaxed LaAsRh2 crystal. Source: Alexandria via LeMat-Bulk, functional PBEsol.

Lattice parameters (Å, degrees): 4.716 4.716 4.716 126.29 112.67 91.30
Element x y z (fractional)
La (0.000, 0.000, 0.000)
As (0.500, 0.500, 0.000)
Rh (0.290, 0.790, 0.500)
Rh (0.710, 0.210, 0.500)

- energy of formation from the pure elements (eV per atom) = -0.499
- space group = Immm

***

# 8
A relaxed LaAsRh crystal. Source: Alexandria via LeMat-Bulk, functional PBEsol.

Lattice parameters (Å, degrees): 7.991 7.991 7.991 149.89 149.89 43.10
Element x y z (fractional)
La (0.000, 0.000, 0.000)
La (0.750, 0.250, 0.500)
As (0.170, 0.670, 0.500)
As (0.420, 0.420, 0.000)
Rh (0.334, 0.834, 0.500)
Rh (0.584, 0.584, 0.000)

- energy of formation from the pure elements (eV per atom) = -1.143
- space group = I4_1md

***

Looking at total moment for the records above, in order, we have 0.000; 0.000; 0.685; 0.001; 0.000; 0.002; 0.000; 0.000 Bohr magnetons per cell.